Entry 1:
First-principles (GGA-PBE) data for Cs2KAgCl after structural relaxation, as listed in Alexandria.

The calculated volume comes out at 275 Å³/cell. The density of states at the Fermi level comes out at 2.89 states/eV/f.u. The value obtained for the formation energy (no corrections) is -0.649 eV/atom. For the total DFT energy (no corrections), the calculation gives -2.15 eV/atom.

It has space group P4/mmm (No. 123), with a = 6.749 Å, b = 6.749 Å, c = 6.031 Å, α = 90.00°, β = 90.00° and γ = 90.00°. Symmetry generates all atoms from Cs at (0.000, 0.500, 0.000), K at (0.000, 0.000, 0.500), Ag at (0.500, 0.500, 0.500) and Cl at (0.000, 0.000, 0.000).



Entry 2:
First-principles (GGA-PBE) data for CsLaAg2Cl6 after structural relaxation, as listed in Alexandria.

The calculated volume comes out at 1533 Å³/cell. The density of states at the Fermi level comes out at 0.00 states/eV/f.u. The value obtained for the formation energy (no corrections) is -1.517 eV/atom. For the total DFT energy (no corrections), the calculation gives -3.77 eV/atom.

It has space group C2/c (No. 15), with a = 14.335 Å, b = 13.509 Å, c = 8.643 Å, α = 90.00°, β = 113.65° and γ = 90.00°. Symmetry generates all atoms from Cs at (0.000, 0.092, 0.250), La at (0.000, 0.285, 0.750), Ag at (0.197, 0.435, 0.117), Cl at (0.075, 0.290, 0.098), Cl at (0.116, 0.126, 0.705) and Cl at (0.158, 0.425, 0.790).



Entry 3:
First-principles (GGA-PBE) data for Cs3LaAg2Cl9 after structural relaxation, as listed in Alexandria.

The calculated volume comes out at 481 Å³/cell. The density of states at the Fermi level comes out at 7.63 states/eV/f.u. The value obtained for the formation energy (no corrections) is -1.597 eV/atom. For the total DFT energy (no corrections), the calculation gives -3.58 eV/atom.

It has space group P-3m1 (No. 164), with a = 7.6441 Å, b = 7.6441 Å, c = 9.5146 Å, α = 90.00°, β = 90.00° and γ = 120.00°. Symmetry generates all atoms from Cs at (0.0000, 0.0000, 0.0000), Cs at (0.3333, 0.6667, 0.6907), La at (0.0000, 0.0000, 0.5000), Ag at (0.3333, 0.6667, 0.1486), Cl at (0.0000, 0.5000, 0.0000) and Cl at (0.1697, 0.3395, 0.3298).